No. 1
The following is a PBE calculation of a relaxed KTiTeN2 crystal, from Alexandria.

Results
The total magnetization comes out at 0.0 μB per formula unit. The uncorrected formation energy comes out at 1.594 eV per atom. The value obtained for the energy is -20.81 eV per cell. Its symmetry is P4/mmm, No. 123.

Structure (CIF):
```
data_KTiTeN2
_chemical_formula_sum 'K1 Ti1 Te1 N2'
_cell_length_a 4.4861
_cell_length_b 5.0637
_cell_length_c 4.4861
_cell_angle_alpha 90.00
_cell_angle_beta 90.00
_cell_angle_gamma 90.00
_space_group_name_H-M_alt 'P 1'
_space_group_IT_number 1
_space_group_name_Hall 'P 1'
loop_
_atom_site_label
_atom_site_fract_x
_atom_site_fract_y
_atom_site_fract_z
N1 0.0000 0.0000 0.5000
N2 0.5000 0.0000 0.0000
Ti1 0.0000 0.5000 0.0000
Te1 0.0000 0.0000 0.0000
K1 0.5000 0.5000 0.5000
```

***

No. 2
The following is a PBE calculation of a relaxed KTiTeN2 crystal, from Alexandria.

Results
The total magnetization comes out at 2.7 μB per formula unit. The uncorrected formation energy comes out at 0.293 eV per atom. The value obtained for the energy is -27.32 eV per cell. Its symmetry is P4/mmm, No. 123.

Structure (CIF):
```
data_KTiTeN2
_chemical_formula_sum 'K1 Ti1 Te1 N2'
_cell_length_a 4.2679
_cell_length_b 4.2679
_cell_length_c 5.4456
_cell_angle_alpha 90.00
_cell_angle_beta 90.00
_cell_angle_gamma 90.00
_space_group_name_H-M_alt 'P 1'
_space_group_IT_number 1
_space_group_name_Hall 'P 1'
loop_
_atom_site_label
_atom_site_fract_x
_atom_site_fract_y
_atom_site_fract_z
Te1 0.0000 0.0000 0.5000
K1 0.5000 0.5000 0.5000
N1 0.0000 0.5000 0.0000
N2 0.5000 0.0000 0.0000
Ti1 0.0000 0.0000 0.0000
```

***

No. 3
The following is a PBE calculation of a relaxed KTiTeN2 crystal, from Alexandria.

Results
The total magnetization comes out at 3.0 μB per formula unit. The uncorrected formation energy comes out at 2.069 eV per atom. The value obtained for the energy is -18.44 eV per cell. Its symmetry is P4/mmm, No. 123.

Structure (CIF):
```
data_KTiTeN2
_chemical_formula_sum 'K1 Ti1 Te1 N2'
_cell_length_a 4.6500
_cell_length_b 4.6500
_cell_length_c 6.5144
_cell_angle_alpha 90.00
_cell_angle_beta 90.00
_cell_angle_gamma 90.00
_space_group_name_H-M_alt 'P 1'
_space_group_IT_number 1
_space_group_name_Hall 'P 1'
loop_
_atom_site_label
_atom_site_fract_x
_atom_site_fract_y
_atom_site_fract_z
N1 0.5000 0.0000 0.0000
K1 0.0000 0.0000 0.0000
Te1 0.0000 0.0000 0.5000
Ti1 0.5000 0.5000 0.5000
N2 0.0000 0.5000 0.0000
```

***

No. 4
The following is a PBE calculation of a relaxed KTlTeN2 crystal, from Alexandria.

Results
The total magnetization comes out at 5.9 μB per formula unit. The uncorrected formation energy comes out at 1.712 eV per atom. The value obtained for the energy is -14.70 eV per cell. Its symmetry is P4/mmm, No. 123.

Structure (CIF):
```
data_KTlTeN2
_chemical_formula_sum 'K1 Tl1 Te1 N2'
_cell_length_a 5.1418
_cell_length_b 5.1418
_cell_length_c 6.8588
_cell_angle_alpha 90.00
_cell_angle_beta 90.00
_cell_angle_gamma 90.00
_space_group_name_H-M_alt 'P 1'
_space_group_IT_number 1
_space_group_name_Hall 'P 1'
loop_
_atom_site_label
_atom_site_fract_x
_atom_site_fract_y
_atom_site_fract_z
Te1 0.0000 0.0000 0.5000
Tl1 0.5000 0.5000 0.5000
N1 0.0000 0.5000 0.0000
K1 0.0000 0.0000 0.0000
N2 0.5000 0.0000 0.0000
```

***

No. 5
The following is a PBE calculation of a relaxed KTlTe2N crystal, from Alexandria.

Results
The total magnetization comes out at 2.9 μB per formula unit. The uncorrected formation energy comes out at 0.614 eV per atom. The value obtained for the energy is -15.00 eV per cell. Its symmetry is P4/mmm, No. 123.

Structure (CIF):
```
data_KTlTe2N
_chemical_formula_sum 'K1 Tl1 Te2 N1'
_cell_length_a 6.1425
_cell_length_b 6.1425
_cell_length_c 4.4489
_cell_angle_alpha 90.00
_cell_angle_beta 90.00
_cell_angle_gamma 90.00
_space_group_name_H-M_alt 'P 1'
_space_group_IT_number 1
_space_group_name_Hall 'P 1'
loop_
_atom_site_label
_atom_site_fract_x
_atom_site_fract_y
_atom_site_fract_z
N1 0.0000 0.0000 0.5000
K1 0.5000 0.5000 0.5000
Te1 0.5000 0.0000 0.0000
Tl1 0.0000 0.0000 0.0000
Te2 0.0000 0.5000 0.0000
```

***

No. 6
The following is a PBE calculation of a relaxed KTlTeN2 crystal, from Alexandria.

Results
The total magnetization comes out at 4.2 μB per formula unit. The uncorrected formation energy comes out at 1.315 eV per atom. The value obtained for the energy is -16.68 eV per cell. Its symmetry is P4/mmm, No. 123.

Structure (CIF):
```
data_KTlTeN2
_chemical_formula_sum 'K1 Tl1 Te1 N2'
_cell_length_a 4.8286
_cell_length_b 4.8286
_cell_length_c 6.0134
_cell_angle_alpha 90.00
_cell_angle_beta 90.00
_cell_angle_gamma 90.00
_space_group_name_H-M_alt 'P 1'
_space_group_IT_number 1
_space_group_name_Hall 'P 1'
loop_
_atom_site_label
_atom_site_fract_x
_atom_site_fract_y
_atom_site_fract_z
K1 0.5000 0.5000 0.5000
N1 0.5000 0.0000 0.0000
N2 0.0000 0.5000 0.0000
Tl1 0.0000 0.0000 0.0000
Te1 0.0000 0.0000 0.5000
```

***

No. 7
The following is a PBE calculation of a relaxed KTlTe2N crystal, from Alexandria.

Results
The total magnetization comes out at 5.0 μB per formula unit. The uncorrected formation energy comes out at 1.079 eV per atom. The value obtained for the energy is -12.68 eV per cell. Its symmetry is P4/mmm, No. 123.

Structure (CIF):
```
data_KTlTe2N
_chemical_formula_sum 'K1 Tl1 Te2 N1'
_cell_length_a 6.4541
_cell_length_b 6.4541
_cell_length_c 5.1501
_cell_angle_alpha 90.00
_cell_angle_beta 90.00
_cell_angle_gamma 90.00
_space_group_name_H-M_alt 'P 1'
_space_group_IT_number 1
_space_group_name_Hall 'P 1'
loop_
_atom_site_label
_atom_site_fract_x
_atom_site_fract_y
_atom_site_fract_z
Te1 0.0000 0.5000 0.0000
N1 0.0000 0.0000 0.5000
Tl1 0.5000 0.5000 0.5000
K1 0.0000 0.0000 0.0000
Te2 0.5000 0.0000 0.0000
```

***

No. 8
The following is a PBE calculation of a relaxed KTe2WN crystal, from Alexandria.

Results
The total magnetization comes out at 0.0 μB per formula unit. The uncorrected formation energy comes out at -0.041 eV per atom. The value obtained for the energy is -28.86 eV per cell. Its symmetry is P4/mmm, No. 123.

Structure (CIF):
```
data_KTe2WN
_chemical_formula_sum 'K1 Te2 W1 N1'
_cell_length_a 5.6448
_cell_length_b 5.6448
_cell_length_c 3.8759
_cell_angle_alpha 90.00
_cell_angle_beta 90.00
_cell_angle_gamma 90.00
_space_group_name_H-M_alt 'P 1'
_space_group_IT_number 1
_space_group_name_Hall 'P 1'
loop_
_atom_site_label
_atom_site_fract_x
_atom_site_fract_y
_atom_site_fract_z
Te1 0.0000 0.5000 0.0000
N1 0.0000 0.0000 0.5000
W1 0.0000 0.0000 0.0000
Te2 0.5000 0.0000 0.0000
K1 0.5000 0.5000 0.5000
```

***

No. 9
The following is a PBE calculation of a relaxed KTe2WN crystal, from Alexandria.

Results
The total magnetization comes out at 0.0 μB per formula unit. The uncorrected formation energy comes out at 2.669 eV per atom. The value obtained for the energy is -15.31 eV per cell. Its symmetry is P4/mmm, No. 123.

Structure (CIF):
```
data_KTe2WN
_chemical_formula_sum 'K1 Te2 W1 N1'
_cell_length_a 5.6030
_cell_length_b 4.0335
_cell_length_c 5.6030
_cell_angle_alpha 90.00
_cell_angle_beta 90.00
_cell_angle_gamma 90.00
_space_group_name_H-M_alt 'P 1'
_space_group_IT_number 1
_space_group_name_Hall 'P 1'
loop_
_atom_site_label
_atom_site_fract_x
_atom_site_fract_y
_atom_site_fract_z
K1 0.0000 0.0000 0.0000
Te1 0.0000 0.0000 0.5000
N1 0.0000 0.5000 0.0000
Te2 0.5000 0.0000 0.0000
W1 0.5000 0.5000 0.5000
```

***

No. 10
The following is a PBE calculation of a relaxed KZnTeN2 crystal, from Alexandria.

Results
The total magnetization comes out at 5.5 μB per formula unit. The uncorrected formation energy comes out at 1.992 eV per atom. The value obtained for the energy is -12.20 eV per cell. Its symmetry is P4/mmm, No. 123.

Structure (CIF):
```
data_KZnTeN2
_chemical_formula_sum 'K1 Zn1 Te1 N2'
_cell_length_a 4.8746
_cell_length_b 4.8746
_cell_length_c 6.9954
_cell_angle_alpha 90.00
_cell_angle_beta 90.00
_cell_angle_gamma 90.00
_space_group_name_H-M_alt 'P 1'
_space_group_IT_number 1
_space_group_name_Hall 'P 1'
loop_
_atom_site_label
_atom_site_fract_x
_atom_site_fract_y
_atom_site_fract_z
N1 0.5000 0.0000 0.0000
Zn1 0.5000 0.5000 0.5000
Te1 0.0000 0.0000 0.5000
N2 0.0000 0.5000 0.0000
K1 0.0000 0.0000 0.0000
```

***

No. 11
The following is a PBE calculation of a relaxed KZnTeN2 crystal, from Alexandria.

Results
The total magnetization comes out at 4.8 μB per formula unit. The uncorrected formation energy comes out at 1.245 eV per atom. The value obtained for the energy is -15.94 eV per cell. Its symmetry is P4/mmm, No. 123.

Structure (CIF):
```
data_KZnTeN2
_chemical_formula_sum 'K1 Zn1 Te1 N2'
_cell_length_a 4.5426
_cell_length_b 4.5426
_cell_length_c 5.4695
_cell_angle_alpha 90.00
_cell_angle_beta 90.00
_cell_angle_gamma 90.00
_space_group_name_H-M_alt 'P 1'
_space_group_IT_number 1
_space_group_name_Hall 'P 1'
loop_
_atom_site_label
_atom_site_fract_x
_atom_site_fract_y
_atom_site_fract_z
K1 0.5000 0.5000 0.5000
Zn1 0.0000 0.0000 0.0000
N1 0.5000 0.0000 0.0000
N2 0.0000 0.5000 0.0000
Te1 0.0000 0.0000 0.5000
```

***

No. 12
The following is a PBE calculation of a relaxed KZrTe2N crystal, from Alexandria.

Results
The total magnetization comes out at 0.0 μB per formula unit. The uncorrected formation energy comes out at -0.415 eV per atom. The value obtained for the energy is -26.33 eV per cell. Its symmetry is P4/mmm, No. 123.

Structure (CIF):
```
data_KZrTe2N
_chemical_formula_sum 'K1 Zr1 Te2 N1'
_cell_length_a 6.0917
_cell_length_b 6.0917
_cell_length_c 3.9865
_cell_angle_alpha 90.00
_cell_angle_beta 90.00
_cell_angle_gamma 90.00
_space_group_name_H-M_alt 'P 1'
_space_group_IT_number 1
_space_group_name_Hall 'P 1'
loop_
_atom_site_label
_atom_site_fract_x
_atom_site_fract_y
_atom_site_fract_z
Te1 0.0000 0.5000 0.0000
Zr1 0.0000 0.0000 0.0000
N1 0.0000 0.0000 0.5000
Te2 0.5000 0.0000 0.0000
K1 0.5000 0.5000 0.5000
```

***

Please write out number 5 again, unchanged.
The following is a PBE calculation of a relaxed KTlTe2N crystal, from Alexandria.

Results
The total magnetization comes out at 2.9 μB per formula unit. The uncorrected formation energy comes out at 0.614 eV per atom. The value obtained for the energy is -15.00 eV per cell. Its symmetry is P4/mmm, No. 123.

Structure (CIF):
```
data_KTlTe2N
_chemical_formula_sum 'K1 Tl1 Te2 N1'
_cell_length_a 6.1425
_cell_length_b 6.1425
_cell_length_c 4.4489
_cell_angle_alpha 90.00
_cell_angle_beta 90.00
_cell_angle_gamma 90.00
_space_group_name_H-M_alt 'P 1'
_space_group_IT_number 1
_space_group_name_Hall 'P 1'
loop_
_atom_site_label
_atom_site_fract_x
_atom_site_fract_y
_atom_site_fract_z
N1 0.0000 0.0000 0.5000
K1 0.5000 0.5000 0.5000
Te1 0.5000 0.0000 0.0000
Tl1 0.0000 0.0000 0.0000
Te2 0.0000 0.5000 0.0000
```